# GGA-PBE TlPb, relaxed
data_TlPb
_chemical_formula_sum 'Tl2 Pb2'
_space_group_name_H-M_alt 'P 1'
_space_group_IT_number 1
_space_group_name_Hall 'P 1'
_cell_length_a 3.469
_cell_length_b 3.469
_cell_length_c 12.387
_cell_angle_alpha 90.00
_cell_angle_beta 90.00
_cell_angle_gamma 120.00
loop_
_atom_site_label
_atom_site_type_symbol
_atom_site_fract_x
_atom_site_fract_y
_atom_site_fract_z
Tl1 Tl 0.333 0.667 0.319
Pb1 Pb 0.667 0.333 0.552
Tl2 Tl 0.667 0.333 0.819
Pb2 Pb 0.333 0.667 0.052
# - DOS(E_F) (states/eV/cell) = 2.9
# - SG = P6_3mc (186)
# - DFT formation energy (eV per atom) = 0.050
# - total magnetization (μB per formula unit) = 0.0